Below is crystalline FeNiSe2 at its relaxed geometry, with properties calculated at the GGA-PBE level.

- E_tot (eV per atom) = -5.39
- energy above the lowest structure with this stoichiometry (kJ per mole of atoms) = 17.20
- space-group type = R3m (160)
- formation energy (no corrections) (eV per atom) = -0.087
- magnetization (μB/cell) = 2.51

a = 6.7493 Å, b = 6.7493 Å, c = 6.7493 Å
α = 31.12°, β = 31.12°, γ = 31.12°
Last column: nearest neighbours and their distance in Å.
Sites, in units of the cell vectors:
Fe (0.4857, 0.4857, 0.4857)  3 Ni 2.41, 3 Se 2.45
Ni (0.7571, 0.7571, 0.7571)  3 Se 2.32, 3 Fe 2.41
Se (0.2190, 0.2190, 0.2190)  3 Fe 2.45
Se (0.0382, 0.0382, 0.0382)  3 Ni 2.32

=====

Below is crystalline FeNiSe2 at its relaxed geometry, with properties calculated at the GGA-PBE level.

- E_tot (eV per atom) = -5.40
- energy above the lowest structure with this stoichiometry (kJ per mole of atoms) = 16.45
- space-group type = I-42d (122)
- formation energy (no corrections) (eV per atom) = -0.095
- magnetization (μB/cell) = 0.00

a = 5.3143 Å, b = 5.3143 Å, c = 6.4842 Å
α = 65.81°, β = 65.81°, γ = 90.00°
Last column: nearest neighbours and their distance in Å.
Sites, in units of the cell vectors:
Fe (0.2500, 0.7500, 0.5000)  4 Se 2.27
Se (0.8750, 0.8658, 0.7500)  2 Fe 2.27, 2 Ni 2.33
Se (0.6158, 0.1250, 0.2500)  2 Fe 2.27, 2 Ni 2.33
Se (0.1342, 0.6250, 0.2500)  2 Fe 2.27, 2 Ni 2.33
Ni (0.0000, 0.0000, 0.0000)  4 Se 2.33
Se (0.3750, 0.3842, 0.7500)  2 Fe 2.27, 2 Ni 2.33
Fe (0.5000, 0.5000, 0.0000)  4 Se 2.27
Ni (0.7500, 0.2500, 0.5000)  4 Se 2.33

=====

Below is crystalline FeNiSe2 at its relaxed geometry, with properties calculated at the GGA-PBE level.

- E_tot (eV per atom) = -5.47
- energy above the lowest structure with this stoichiometry (kJ per mole of atoms) = 9.86
- space-group type = P4mm (99)
- formation energy (no corrections) (eV per atom) = -0.163
- magnetization (μB/cell) = 1.64

a = 3.2485 Å, b = 3.2485 Å, c = 6.6700 Å
α = 90.00°, β = 90.00°, γ = 90.00°
Last column: nearest neighbours and their distance in Å.
Sites, in units of the cell vectors:
Fe (0.0000, 0.0000, 0.5199)  5 Se 2.33-2.49
Ni (0.5000, 0.5000, 0.7346)  5 Se 2.39-2.47
Se (0.5000, 0.5000, 0.3758)  1 Ni 2.39, 4 Fe 2.49
Se (0.0000, 0.0000, 0.8697)  1 Fe 2.33, 4 Ni 2.47

=====

Below is crystalline FeNiSe2 at its relaxed geometry, with properties calculated at the GGA-PBE level.

- E_tot (eV per atom) = -5.01
- energy above the lowest structure with this stoichiometry (kJ per mole of atoms) = 54.09
- space-group type = I-4m2 (119)
- formation energy (no corrections) (eV per atom) = 0.296
- magnetization (μB/cell) = 3.52

a = 6.3237 Å, b = 6.3237 Å, c = 6.3237 Å
α = 148.24°, β = 148.24°, γ = 45.54°
Last column: nearest neighbours and their distance in Å.
Sites, in units of the cell vectors:
Se (0.0000, 0.0000, 0.0000)  4 Fe 2.45
Se (0.2500, 0.7500, 0.5000)  4 Ni 2.45
Fe (0.5000, 0.5000, 0.0000)  4 Se 2.45
Ni (0.7500, 0.2500, 0.5000)  4 Se 2.45

=====

Below is crystalline FeNiSe2 at its relaxed geometry, with properties calculated at the GGA-PBE level.

- E_tot (eV per atom) = -5.29
- energy above the lowest structure with this stoichiometry (kJ per mole of atoms) = 26.86
- space-group type = Imm2 (44)
- formation energy (no corrections) (eV per atom) = 0.013
- magnetization (μB/cell) = 2.67

a = 7.4625 Å, b = 7.4625 Å, c = 7.4625 Å
α = 155.52°, β = 153.95°, γ = 36.05°
Last column: nearest neighbours and their distance in Å.
Sites, in units of the cell vectors:
Fe (0.4331, 0.4331, 0.0000)  2 Ni 2.49, 4 Se 2.52
Ni (0.8039, 0.3039, 0.5000)  4 Se 2.40, 2 Fe 2.49
Se (0.2584, 0.7584, 0.5000)  4 Ni 2.40
Se (0.0046, 0.0046, 0.0000)  4 Fe 2.52

=====

Below is crystalline FeNiSe2 at its relaxed geometry, with properties calculated at the GGA-PBE level.

- E_tot (eV per atom) = -5.09
- energy above the lowest structure with this stoichiometry (kJ per mole of atoms) = 46.10
- space-group type = Fm-3m (225)
- formation energy (no corrections) (eV per atom) = 0.213
- magnetization (μB/cell) = 1.66

a = 4.3632 Å, b = 4.3632 Å, c = 4.3632 Å
α = 60.00°, β = 60.00°, γ = 60.00°
Last column: nearest neighbours and their distance in Å.
Sites, in units of the cell vectors:
Se (0.7500, 0.7500, 0.7500)  4 Ni 2.67, 4 Fe 2.67
Ni (0.5000, 0.5000, 0.5000)  8 Se 2.67
Fe (0.0000, 0.0000, 0.0000)  8 Se 2.67
Se (0.2500, 0.2500, 0.2500)  4 Fe 2.67, 4 Ni 2.67

=====

- The lowest magnetization belongs to which entry?
  number 2

=====

Repeat the fourth record exactly.
Below is crystalline FeNiSe2 at its relaxed geometry, with properties calculated at the GGA-PBE level.

- E_tot (eV per atom) = -5.01
- energy above the lowest structure with this stoichiometry (kJ per mole of atoms) = 54.09
- space-group type = I-4m2 (119)
- formation energy (no corrections) (eV per atom) = 0.296
- magnetization (μB/cell) = 3.52

a = 6.3237 Å, b = 6.3237 Å, c = 6.3237 Å
α = 148.24°, β = 148.24°, γ = 45.54°
Last column: nearest neighbours and their distance in Å.
Sites, in units of the cell vectors:
Se (0.0000, 0.0000, 0.0000)  4 Fe 2.45
Se (0.2500, 0.7500, 0.5000)  4 Ni 2.45
Fe (0.5000, 0.5000, 0.0000)  4 Se 2.45
Ni (0.7500, 0.2500, 0.5000)  4 Se 2.45

=====

- Number 2 is which compound?
  FeNiSe2